A plane-wave DFT calculation with PBE was carried out for crystalline InOsAu2 at its relaxed geometry.

The structure in POSCAR format:
```
InOsAu2
1.0
-2.692 0.692 -1.040
-0.028 -2.504 -1.592
-3.444 -3.956 6.282
Au In Os
2 1 1
direct
0.000 0.000 0.985
0.000 0.000 0.515
0.500 0.500 0.250
0.500 0.500 0.750
```

**Total energy**: -4.612 eV/atom
**E_form**: 50 kJ/mol of atoms